A geometry-optimized La2NdDy3Se6 structure, computed with GGA-PBE.

Structure (extended XYZ):
```
12
Lattice="-2.9173 2.9270 -0.0440 -5.1558 -5.2024 -4.2463 -0.3178 -3.1011 8.8582" Properties=species:S:1:pos:R:3 pbc="T T T"
Se -5.0952 -2.1556 0.3350
Se -4.5461 -1.4985 7.6355
Se -2.4261 0.5398 2.6733
Se -5.9647 -5.9163 1.8946
Se -3.2955 -3.2209 4.2329
Se -3.8447 -3.8780 -3.0676
La -6.0951 -3.1114 3.0470
La -2.2956 -2.2651 1.5209
Dy -4.0365 -1.1377 -2.1452
Dy -3.5031 -0.4963 5.1550
Dy -4.8877 -4.8802 -0.5871
Nd -1.4586 1.4635 -0.0220
```

The formation energy from raw total energies comes out at -1.854 eV per atom. Its final energy is -71.58 eV/cell. The value obtained for the density is 7.4 g/cm³. As for the space group: No. 12. As for the total moment: 0.00 μB per cell.